Entry 1:
Compound: Ca2ScSb
Source: Alexandria via LeMat-Bulk
Functional: PBE-GGA
Structure: optimized geometry Values from VASP.

Structure (Quantum ESPRESSO input):
```
&SYSTEM
  ibrav = 0, nat = 4, ntyp = 3
/
ATOMIC_SPECIES
Sc 44.96 Sc.upf
Ca 40.08 Ca.upf
Sb 121.76 Sb.upf
CELL_PARAMETERS angstrom
6.3277 -0.0006 0.0000
3.0675 5.5344 0.0000
-4.6976 -2.7669 3.2119
ATOMIC_POSITIONS angstrom
Sc 3.1638 -0.0003 1.6060
Ca 4.6976 2.7669 0.0000
Ca 0.0000 0.0000 0.0000
Sb 1.5337 2.7672 1.6060
```

Values from the calculation:
**Energy relative to the elements, uncorrected**: -1.483 eV per formula unit
**Space-group type**: I4/mmm (139)
**V**: 28.12 A^3/atom
**Raw total energy**: -3.985 eV/atom

Entry 2:
Compound: ErFeI
Source: Alexandria via LeMat-Bulk
Functional: PBE-GGA
Structure: optimized geometry Values from VASP.

Structure (Quantum ESPRESSO input):
```
&SYSTEM
  ibrav = 0, nat = 6, ntyp = 3
/
ATOMIC_SPECIES
I 126.90 I.upf
Fe 55.84 Fe.upf
Er 167.26 Er.upf
CELL_PARAMETERS angstrom
-0.1919 -0.0882 3.9358
2.7117 -1.9830 2.0614
7.8227 9.4484 2.5667
ATOMIC_POSITIONS angstrom
I 2.0393 1.0511 2.0966
Fe 5.9910 2.9689 6.2793
Er 4.0927 2.1226 4.1942
Fe 4.3515 4.4083 2.2845
Er 6.2498 5.2546 4.3696
I 8.3032 6.3261 6.4673
```

Values from the calculation:
**Energy relative to the elements, uncorrected**: -2.117 eV per formula unit
**Space-group type**: R-3m (166)
**V**: 27.63 A^3/atom
**Raw total energy**: -5.564 eV/atom

Entry 3:
Compound: Na5Sn5Sb
Source: Alexandria via LeMat-Bulk
Functional: PBE-GGA
Structure: optimized geometry Values from VASP.

Structure (Quantum ESPRESSO input):
```
&SYSTEM
  ibrav = 0, nat = 11, ntyp = 3
/
ATOMIC_SPECIES
Na 22.99 Na.upf
Sn 118.71 Sn.upf
Sb 121.76 Sb.upf
CELL_PARAMETERS angstrom
6.0567 0.0000 0.0000
-3.0283 5.2452 0.0000
0.0000 0.0000 10.9040
ATOMIC_POSITIONS angstrom
Na 0.0000 0.0000 0.0000
Na 0.0000 3.4968 7.6349
Na 0.0000 3.4968 3.2690
Sn 1.5576 0.8993 5.4520
Na 3.0283 1.7484 1.6887
Sn 0.0000 0.0000 7.8676
Sb 0.0000 3.4968 0.0000
Sn 4.4991 0.8993 5.4520
Na 3.0283 1.7484 9.2153
Sn 0.0000 0.0000 3.0364
Sn 3.0283 3.4467 5.4520
```

Values from the calculation:
**Energy relative to the elements, uncorrected**: -1.490 eV per formula unit
**Space-group type**: P-6m2 (187)
**V**: 31.49 A^3/atom
**Raw total energy**: -2.929 eV/atom

Entry 4:
Compound: K2HgRh
Source: Alexandria via LeMat-Bulk
Functional: PBE-GGA
Structure: optimized geometry Values from VASP.

Structure (Quantum ESPRESSO input):
```
&SYSTEM
  ibrav = 0, nat = 8, ntyp = 3
/
ATOMIC_SPECIES
K 39.10 K.upf
Hg 200.59 Hg.upf
Rh 102.91 Rh.upf
CELL_PARAMETERS angstrom
11.4120 0.0000 0.0000
0.0000 11.4120 0.0000
5.7060 5.7060 2.6402
ATOMIC_POSITIONS angstrom
K 6.6612 2.8530 0.6601
Hg 11.4120 5.7060 1.3201
Rh 5.7060 5.7060 0.0000
K 4.7508 8.5590 0.6601
K 8.5590 10.4568 1.9802
Hg 0.0000 0.0000 0.0000
K 14.2649 12.3671 1.9802
Rh 5.7060 11.4120 1.3201
```

Values from the calculation:
**Space-group type**: I-42d (122)
**V**: 42.98 A^3/atom
**DFT formation energy**: 0.295 eV/atom
**Raw total energy**: -2.167 eV/atom

Entry 5:
Compound: ZrTe2Os
Source: Alexandria via LeMat-Bulk
Functional: PBE-GGA
Structure: optimized geometry Values from VASP.

Structure (Quantum ESPRESSO input):
```
&SYSTEM
  ibrav = 0, nat = 4, ntyp = 3
/
ATOMIC_SPECIES
Os 190.23 Os.upf
Zr 91.22 Zr.upf
Te 127.60 Te.upf
CELL_PARAMETERS angstrom
7.8586 0.1933 -0.0422
5.8768 5.2209 0.0422
-6.6791 -3.1856 2.6530
ATOMIC_POSITIONS angstrom
Os 3.5237 2.5647 1.3476
Zr 5.8045 2.2880 0.0000
Te 0.3697 0.1457 0.0000
Te 4.2261 -0.0628 1.3054
```

Values from the calculation:
**Energy relative to the elements, uncorrected**: -0.346 eV per formula unit
**Space-group type**: Imm2 (44)
**V**: 26.54 A^3/atom
**Energy above the most stable polymorph in this dataset**: 0.216 eV/atom
**Raw total energy**: -6.602 eV/atom

Entry 6:
Compound: SrTa5
Source: Alexandria via LeMat-Bulk
Functional: PBE-GGA
Structure: optimized geometry Values from VASP.

Structure (Quantum ESPRESSO input):
```
&SYSTEM
  ibrav = 0, nat = 6, ntyp = 2
/
ATOMIC_SPECIES
Ta 180.95 Ta.upf
Sr 87.62 Sr.upf
CELL_PARAMETERS angstrom
2.8514 0.0000 0.0000
0.0000 2.8514 0.0000
0.0000 0.0000 15.2974
ATOMIC_POSITIONS angstrom
Ta 1.4257 1.4257 10.0091
Sr 1.4257 1.4257 0.0000
Ta 0.0000 0.0000 7.6487
Ta 0.0000 0.0000 12.2723
Ta 1.4257 1.4257 5.2884
Ta 0.0000 0.0000 3.0252
```

Values from the calculation:
**Space-group type**: P4/mmm (123)
**V**: 20.73 A^3/atom
**DFT formation energy**: 0.508 eV/atom
**Energy above the most stable polymorph in this dataset**: 0.000 eV/atom
**Raw total energy**: -9.649 eV/atom

Entry 7:
Compound: Tm5Pb
Source: Alexandria via LeMat-Bulk
Functional: PBE-GGA
Structure: optimized geometry Values from VASP.

Structure (Quantum ESPRESSO input):
```
&SYSTEM
  ibrav = 0, nat = 6, ntyp = 2
/
ATOMIC_SPECIES
Tm 168.93 Tm.upf
Pb 207.20 Pb.upf
CELL_PARAMETERS angstrom
4.8493 0.0000 0.0000
0.0000 4.8131 0.0000
0.0000 -2.4065 7.3861
ATOMIC_POSITIONS angstrom
Tm 2.4246 0.0000 2.5253
Pb 0.0000 0.0000 0.0000
Tm 2.4246 2.4065 4.8608
Tm 0.0000 0.0000 4.9639
Tm 0.0000 2.4065 2.4222
Tm 2.4246 2.4065 0.0000
```

Values from the calculation:
**Space-group type**: Cmmm (65)
**V**: 28.73 A^3/atom
**DFT formation energy**: -0.177 eV/atom
**Raw total energy**: -4.521 eV/atom

Entry 8:
Compound: BeVCu2
Source: Alexandria via LeMat-Bulk
Functional: PBE-GGA
Structure: optimized geometry Values from VASP.

Structure (Quantum ESPRESSO input):
```
&SYSTEM
  ibrav = 0, nat = 8, ntyp = 3
/
ATOMIC_SPECIES
V 50.94 V.upf
Be 9.01 Be.upf
Cu 63.55 Cu.upf
CELL_PARAMETERS angstrom
-3.2470 -0.8923 -0.6124
1.0320 -1.9696 -2.6019
-0.3053 -7.9617 3.6548
ATOMIC_POSITIONS angstrom
V 0.0000 0.0000 0.0000
Be -0.1904 -5.6811 -0.2771
Be -1.1075 -1.4309 -1.6072
V -2.3299 -5.1424 0.7176
Cu -2.1841 -8.4429 -0.0286
Cu -1.0426 -7.0769 1.4928
Cu 0.1093 -3.3477 -0.7991
Cu -1.9231 -2.7796 0.2158
```

Values from the calculation:
**Space-group type**: I-42d (122)
**V**: 12.34 A^3/atom
**DFT formation energy**: 0.456 eV/atom
**Raw total energy**: -4.803 eV/atom

Entry 9:
Compound: PaAl2Pd2
Source: Alexandria via LeMat-Bulk
Functional: PBE-GGA
Structure: optimized geometry Values from VASP.

Structure (Quantum ESPRESSO input):
```
&SYSTEM
  ibrav = 0, nat = 10, ntyp = 3
/
ATOMIC_SPECIES
Pd 106.42 Pd.upf
Al 26.98 Al.upf
Pa 231.04 Pa.upf
CELL_PARAMETERS angstrom
-3.5692 2.0066 0.0050
-1.8134 -3.2210 -1.7614
-2.3403 -4.1877 10.0675
ATOMIC_POSITIONS angstrom
Pd -1.6557 -0.8583 0.8943
Al -3.1303 0.6998 -0.4366
Pa -4.6225 -1.9578 1.1994
Al -2.2523 -1.9142 -1.3198
Pd -2.2059 -1.8428 3.2612
Al -4.3004 -1.3940 4.5972
Pd -6.0672 -4.5438 7.4168
Pa -3.1004 -3.4443 7.1117
Al -3.4225 -4.0081 3.7139
Pd -5.5170 -3.5593 5.0499
```

Values from the calculation:
**Space-group type**: I4/mmm (139)
**V**: 18.70 A^3/atom
**DFT formation energy**: -0.620 eV/atom
**Raw total energy**: -6.094 eV/atom

Entry 10:
Compound: ScTl2Cl
Source: Alexandria via LeMat-Bulk
Functional: PBE-GGA
Structure: optimized geometry Values from VASP.

Structure (Quantum ESPRESSO input):
```
&SYSTEM
  ibrav = 0, nat = 4, ntyp = 3
/
ATOMIC_SPECIES
Tl 204.38 Tl.upf
Sc 44.96 Sc.upf
Cl 35.45 Cl.upf
CELL_PARAMETERS angstrom
-7.0056 -3.3849 2.7594
-4.9895 -5.8459 3.0133
0.1103 0.5290 4.2523
ATOMIC_POSITIONS angstrom
Tl -6.7512 -5.0029 5.1147
Sc -2.9712 -2.1754 2.5062
Cl -8.9136 -6.5263 7.5187
Tl -11.1862 -8.5788 5.6704
```

Values from the calculation:
**Energy relative to the elements, uncorrected**: -2.077 eV per formula unit
**Space-group type**: Immm (71)
**V**: 26.72 A^3/atom
**Raw total energy**: -3.747 eV/atom

Entry 11:
Compound: SrTbPb6
Source: Alexandria via LeMat-Bulk
Functional: PBE-GGA
Structure: optimized geometry Values from VASP.

Structure (Quantum ESPRESSO input):
```
&SYSTEM
  ibrav = 0, nat = 8, ntyp = 3
/
ATOMIC_SPECIES
Pb 207.20 Pb.upf
Tb 158.93 Tb.upf
Sr 87.62 Sr.upf
CELL_PARAMETERS angstrom
4.9772 0.0000 0.0000
0.0000 4.9772 0.0000
0.0000 0.0000 9.8256
ATOMIC_POSITIONS angstrom
Pb 2.4886 2.4886 0.0000
Tb 0.0000 0.0000 4.9128
Pb 2.4886 0.0000 2.5258
Pb 0.0000 2.4886 7.2998
Pb 2.4886 2.4886 4.9128
Pb 0.0000 2.4886 2.5258
Sr 0.0000 0.0000 0.0000
Pb 2.4886 0.0000 7.2998
```

Values from the calculation:
**Space-group type**: P4/mmm (123)
**V**: 30.43 A^3/atom
**DFT formation energy**: -0.330 eV/atom
**Raw total energy**: -3.900 eV/atom

Entry 12:
Compound: BaMg5
Source: Alexandria via LeMat-Bulk
Functional: PBE-GGA
Structure: optimized geometry Values from VASP.

Structure (Quantum ESPRESSO input):
```
&SYSTEM
  ibrav = 0, nat = 6, ntyp = 2
/
ATOMIC_SPECIES
Ba 137.33 Ba.upf
Mg 24.30 Mg.upf
CELL_PARAMETERS angstrom
5.4181 0.0000 0.0000
0.0000 5.5574 0.0000
0.0000 -2.7787 5.7175
ATOMIC_POSITIONS angstrom
Ba 0.0000 0.0000 0.0000
Mg 0.0000 0.0000 3.7066
Mg 2.7090 0.0000 2.2350
Mg 2.7090 2.7787 3.4825
Mg 2.7090 2.7787 0.0000
Mg 0.0000 2.7787 2.0110
```

Values from the calculation:
**Space-group type**: Cmmm (65)
**V**: 28.69 A^3/atom
**DFT formation energy**: 0.036 eV/atom
**Raw total energy**: -1.613 eV/atom

Entry 13:
Compound: CeNd5N5
Source: Alexandria via LeMat-Bulk
Functional: PBE-GGA
Structure: optimized geometry Values from VASP.

Structure (Quantum ESPRESSO input):
```
&SYSTEM
  ibrav = 0, nat = 11, ntyp = 3
/
ATOMIC_SPECIES
Nd 144.24 Nd.upf
N 14.01 N.upf
Ce 140.12 Ce.upf
CELL_PARAMETERS angstrom
-3.8747 -0.3462 3.3875
-1.1665 -2.7755 -5.5453
3.8829 -4.7098 3.9600
ATOMIC_POSITIONS angstrom
Nd -1.4348 -2.6697 -1.9139
N 2.2209 -4.9129 2.0383
Nd -1.7494 -2.7414 1.6463
Nd 0.2765 -5.1618 3.7162
N 0.2633 -2.4733 0.0484
N -3.3792 -2.9185 -0.2360
N -1.4216 -5.3581 1.7539
Nd 0.5911 -5.0900 0.1560
N -1.9373 -0.1731 1.6938
Ce 0.0000 0.0000 0.0000
Nd 1.9415 -2.3549 1.9800
```

Values from the calculation:
**Energy relative to the elements, uncorrected**: -13.798 eV per formula unit
**Space-group type**: C2/m (12)
**V**: 18.61 A^3/atom
**Raw total energy**: -7.745 eV/atom

Entry 14:
Compound: ZrIrRh2
Source: Alexandria via LeMat-Bulk
Functional: PBE-GGA
Structure: optimized geometry Values from VASP.

Structure (Quantum ESPRESSO input):
```
&SYSTEM
  ibrav = 0, nat = 4, ntyp = 3
/
ATOMIC_SPECIES
Zr 91.22 Zr.upf
Rh 102.91 Rh.upf
Ir 192.22 Ir.upf
CELL_PARAMETERS angstrom
-4.3288 -0.7531 -0.9337
0.6095 -2.8143 -0.5557
-0.8058 -1.0854 4.6113
ATOMIC_POSITIONS angstrom
Zr 0.0181 -2.2473 1.7287
Rh -2.3256 -1.0482 0.8226
Ir -2.4396 -3.0199 2.9416
Rh -0.6817 -1.3727 4.2681
```

Values from the calculation:
**Space-group type**: Pmm2 (25)
**V**: 15.83 A^3/atom
**DFT formation energy**: -0.466 eV/atom
**Raw total energy**: -8.494 eV/atom